[1]
! PBE Be3NbNi, relaxed; values from VASP
! Polymorph energy (0 for the lowest one) ... 1892 meV/atom
! ΔH_f (0 K) ... 1786 meV/atom
! SG ... Pm-3m (221)
! DOS(E_F) ... 7.28 states/eV/cell
! Crystal system ... cubic
! Total DFT energy (no corrections) ... -18.10 eV per cell
&SYSTEM
  ibrav = 0, nat = 5, ntyp = 3
/
ATOMIC_SPECIES
Nb 92.91 Nb.upf
Be 9.01 Be.upf
Ni 58.69 Ni.upf
CELL_PARAMETERS angstrom
-3.581 0.642 2.326
-2.173 -2.667 -2.609
1.048 -3.335 2.535
ATOMIC_POSITIONS crystal
Nb 0.000 0.000 0.000
Be 0.500 0.000 0.000
Be 0.000 0.000 0.500
Be 0.000 0.500 0.000
Ni 0.500 0.500 0.500

=====

[2]
! PBE CaAc2LaTl4, relaxed; values from VASP
! ΔH_f (0 K) ... -396 meV/atom
! SG ... R-3m (166)
! DOS(E_F) ... 7.05 states/eV/cell
! Crystal system ... trigonal
! Total DFT energy (no corrections) ... -27.78 eV per cell
&SYSTEM
  ibrav = 0, nat = 8, ntyp = 4
/
ATOMIC_SPECIES
La 138.91 La.upf
Ca 40.08 Ca.upf
Tl 204.38 Tl.upf
Ac 227.00 Ac.upf
CELL_PARAMETERS angstrom
5.705 0.000 0.000
2.852 4.940 0.000
2.852 1.647 9.444
ATOMIC_POSITIONS crystal
La 0.000 0.000 0.000
Ca 0.500 0.500 0.500
Tl 0.876 0.876 0.372
Tl 0.374 0.374 0.879
Tl 0.626 0.626 0.121
Tl 0.124 0.124 0.628
Ac 0.246 0.246 0.263
Ac 0.754 0.754 0.737

=====

> The highest DOS(E_F) belongs to which entry?

Be3NbNi

=====

> The highest DOS(E_F) belongs to which entry?

Be3NbNi

=====

> The lowest DOS(E_F) belongs to which entry?

CaAc2LaTl4

=====

> Number 2 is which compound?

CaAc2LaTl4